# 1
VASP calculation (PBE) on Te4Os after structural relaxation.

## Properties
**Offset from the most stable computed form**: 625 meV per atom
**Energy relative to the elements, uncorrected**: 905 meV per atom
**M_tot**: 0.480 μB/f.u.
**Symmetry**: No. 139
**E_tot**: -3.8543 eV/atom

Lattice parameters (Å, degrees): 10.130 10.130 10.130 157.58 157.58 31.91
Element x y z (fractional)
Os: 0.000 0.000 0.000
Te: 0.750 0.250 0.500
Te: 0.430 0.430 0.000
Te: 0.570 0.570 0.000
Te: 0.250 0.750 0.500

# 2
VASP calculation (PBE) on LiPu3Cl7 after structural relaxation.

## Properties
**Energy relative to the elements, uncorrected**: -1699 meV per atom
**M_tot**: 18.000 μB/f.u.
**Symmetry**: No. 63
**E_tot**: -6.9572 eV/atom

Lattice parameters (Å, degrees): 8.030 8.030 9.238 90.00 90.00 111.07
Element x y z (fractional)
Cl: 0.845 0.586 0.544
Cl: 0.845 0.586 0.956
Pu: 0.476 0.897 0.250
Cl: 0.421 0.421 0.750
Cl: 0.896 0.161 0.750
Pu: 0.897 0.476 0.250
Pu: 0.103 0.524 0.750
Pu: 0.000 0.000 0.000
Cl: 0.579 0.579 0.250
Pu: 0.524 0.103 0.750
Cl: 0.155 0.414 0.044
Cl: 0.161 0.896 0.750
Cl: 0.839 0.104 0.250
Li: 0.500 0.500 0.500
Cl: 0.104 0.839 0.250
Pu: 0.000 0.000 0.500
Cl: 0.414 0.155 0.044
Cl: 0.155 0.414 0.456
Cl: 0.414 0.155 0.456
Cl: 0.586 0.845 0.544
Cl: 0.586 0.845 0.956
Li: 0.500 0.500 0.000

# 3
VASP calculation (PBE) on PmYTmTl after structural relaxation.

## Properties
**Calculated formation energy**: -0.184 eV/atom
**Offset from the most stable computed form**: 0 meV per atom
**M_tot**: 0.789 μB/f.u.
**Symmetry**: No. 47
**E_tot**: -4.6973 eV/atom

Lattice parameters (Å, degrees): 4.882 4.835 4.921 90.00 90.00 90.00
Element x y z (fractional)
Tm: 0.000 0.500 0.500
Tl: 0.000 0.000 0.000
Pm: 0.500 0.000 0.500
Y: 0.500 0.500 0.000

# 4
VASP calculation (PBE) on AcPr6DyHo2 after structural relaxation.

## Properties
**Calculated formation energy**: 0.117 eV/atom
**M_tot**: 0.000 μB/f.u.
**Symmetry**: No. 15
**E_tot**: -4.5370 eV/atom

Lattice parameters (Å, degrees): 9.836 9.094 9.094 117.23 93.24 93.24
Element x y z (fractional)
Ho: 0.452 0.795 0.690
Ac: 0.750 0.028 0.972
Ho: 0.548 0.205 0.310
Pr: 0.184 0.554 0.006
Dy: 0.750 0.588 0.412
Pr: 0.684 0.006 0.554
Pr: 0.554 0.755 0.119
Pr: 0.946 0.881 0.245
Pr: 0.382 0.511 0.293
Pr: 0.816 0.446 0.994
Ho: 0.952 0.690 0.795
Pr: 0.446 0.245 0.881
Pr: 0.618 0.489 0.707
Pr: 0.882 0.293 0.511
Ho: 0.048 0.310 0.205
Pr: 0.054 0.119 0.755
Pr: 0.316 0.994 0.446
Pr: 0.118 0.707 0.489
Dy: 0.250 0.412 0.588
Ac: 0.250 0.972 0.028

# 5
VASP calculation (PBE) on TcPdS2N after structural relaxation.

## Properties
**Offset from the most stable computed form**: 0 meV per atom
**Energy relative to the elements, uncorrected**: 481 meV per atom
**M_tot**: 0.000 μB/f.u.
**Symmetry**: No. 123
**E_tot**: -5.9469 eV/atom

Lattice parameters (Å, degrees): 4.753 4.753 3.685 90.00 90.00 90.00
Element x y z (fractional)
S: 0.000 0.500 0.000
Pd: 0.500 0.500 0.500
Tc: 0.000 0.000 0.000
S: 0.500 0.000 0.000
N: 0.000 0.000 0.500

# 6
VASP calculation (PBE) on AgS3I after structural relaxation.

## Properties
**Offset from the most stable computed form**: 793 meV per atom
**Energy relative to the elements, uncorrected**: 870 meV per atom
**M_tot**: 0.000 μB/f.u.
**Symmetry**: No. 221
**E_tot**: -2.4865 eV/atom

Lattice parameters (Å, degrees): 4.862 4.862 4.862 90.00 90.00 90.00
Element x y z (fractional)
S: 0.000 0.500 0.000
S: 0.500 0.000 0.000
S: 0.000 0.000 0.500
Ag: 0.000 0.000 0.000
I: 0.500 0.500 0.500

# 7
VASP calculation (PBE) on LiHg2Bi2 after structural relaxation.

## Properties
**Calculated formation energy**: -0.025 eV/atom
**Offset from the most stable computed form**: 69 meV per atom
**M_tot**: 0.000 μB/f.u.
**Symmetry**: No. 127
**E_tot**: -2.0806 eV/atom

Lattice parameters (Å, degrees): 7.727 7.727 4.568 90.00 90.00 90.00
Element x y z (fractional)
Bi: 0.844 0.344 0.500
Hg: 0.647 0.147 0.000
Hg: 0.147 0.353 0.000
Bi: 0.156 0.656 0.500
Hg: 0.853 0.647 0.000
Bi: 0.344 0.156 0.500
Li: 0.500 0.500 0.000
Li: 0.000 0.000 0.000
Hg: 0.353 0.853 0.000
Bi: 0.656 0.844 0.500

# 8
VASP calculation (PBE) on Zr2ZnAs2 after structural relaxation.

## Properties
**Calculated formation energy**: -0.674 eV/atom
**M_tot**: 0.000 μB/f.u.
**Symmetry**: No. 127
**E_tot**: -6.2077 eV/atom

Lattice parameters (Å, degrees): 7.447 7.447 3.581 90.00 90.00 90.00
Element x y z (fractional)
As: 0.851 0.351 0.500
As: 0.351 0.149 0.500
Zr: 0.851 0.649 0.000
Zn: 0.000 0.000 0.000
Zn: 0.500 0.500 0.000
Zr: 0.649 0.149 0.000
As: 0.149 0.649 0.500
Zr: 0.149 0.351 0.000
Zr: 0.351 0.851 0.000
As: 0.649 0.851 0.500

Question: Which formula does entry 1 have?
Answer: Te4Os

Question: Number 3 is which compound?
Answer: PmYTmTl

What did the sixth record say?
VASP calculation (PBE) on AgS3I after structural relaxation.

## Properties
**Offset from the most stable computed form**: 793 meV per atom
**Energy relative to the elements, uncorrected**: 870 meV per atom
**M_tot**: 0.000 μB/f.u.
**Symmetry**: No. 221
**E_tot**: -2.4865 eV/atom

Lattice parameters (Å, degrees): 4.862 4.862 4.862 90.00 90.00 90.00
Element x y z (fractional)
S: 0.000 0.500 0.000
S: 0.500 0.000 0.000
S: 0.000 0.000 0.500
Ag: 0.000 0.000 0.000
I: 0.500 0.500 0.500